1.
MnTeP after structural relaxation, computed with PBEsol.

a = 4.4398 Å, b = 4.4398 Å, c = 4.4398 Å
α = 60.00°, β = 60.00°, γ = 60.00°
Last column: magnetic moment on the atom in μB.
Positions (direct):
Mn 0.5000 0.5000 0.5000  3.68
Te 0.0000 0.0000 0.0000  -0.06
P 0.2500 0.2500 0.2500  -0.10

Summary:
Uncorrected formation energy: 1.9 eV per formula unit
E above lowest polymorph: 460.8 meV/atom
Electronic total energy: -5.731 eV/atom
Space-group type: F-43m, No. 216

***

2.
MnTeP3 after structural relaxation, computed with PBEsol.

a = 4.9758 Å, b = 4.9758 Å, c = 4.9758 Å
α = 90.00°, β = 90.00°, γ = 90.00°
Last column: magnetic moment on the atom in μB.
Positions (direct):
Mn 0.5000 0.5000 0.5000  4.45
P 0.0000 0.5000 0.0000  -0.09
P 0.0000 0.0000 0.5000  -0.09
P 0.5000 0.0000 0.0000  -0.09
Te 0.0000 0.0000 0.0000  0.01

Summary:
Uncorrected formation energy: 7.5 eV per formula unit
Electronic total energy: -4.631 eV/atom
Space-group type: Pm-3m, No. 221

***

3.
MnTeP after structural relaxation, computed with PBEsol.

a = 4.1375 Å, b = 4.1375 Å, c = 4.1375 Å
α = 60.00°, β = 60.00°, γ = 60.00°
Last column: magnetic moment on the atom in μB.
Positions (direct):
Te 0.5000 0.5000 0.5000  -0.01
P 0.0000 0.0000 0.0000  -0.01
Mn 0.2500 0.2500 0.2500  0.48

Summary:
Uncorrected formation energy: 0.5 eV per formula unit
E above lowest polymorph: 0.0 meV/atom
Electronic total energy: -6.191 eV/atom
Space-group type: F-43m, No. 216

***

4.
Th2Mn12P7 after structural relaxation, computed with PBEsol.

a = 3.6677 Å, b = 9.1295 Å, c = 9.1295 Å
α = 120.00°, β = 90.00°, γ = 90.00°
Last column: magnetic moment on the atom in μB.
Positions (direct):
P 0.5000 0.4475 0.0642  -0.03
P 0.0000 0.7348 0.9582  -0.05
P 0.5000 0.6166 0.5525  -0.03
P 0.0000 0.0418 0.7766  -0.05
P 0.5000 0.9358 0.3834  -0.03
P 0.0000 0.2234 0.2652  -0.05
P 0.0000 0.3333 0.6667  -0.01
Mn 0.0000 0.9578 0.2401  1.32
Mn 0.5000 0.7212 0.1016  1.33
Mn 0.5000 0.5526 0.7727  1.91
Mn 0.0000 0.4834 0.9405  -0.44
Mn 0.5000 0.2201 0.4474  1.91
Mn 0.0000 0.4572 0.5166  -0.44
Mn 0.0000 0.2823 0.0422  1.32
Mn 0.0000 0.0595 0.5428  -0.44
Mn 0.5000 0.2273 0.7799  1.91
Mn 0.5000 0.3805 0.2788  1.33
Mn 0.0000 0.7599 0.7177  1.32
Mn 0.5000 0.8984 0.6195  1.33
Th 0.5000 0.0000 0.0000  -0.06
Th 0.0000 0.6667 0.3333  -0.08

Summary:
ΔH_f (0 K): -0.706 eV per atom
Electronic total energy: -8.986 eV/atom
Space-group type: P-6, No. 174

***

5.
TiMn2P12 after structural relaxation, computed with PBEsol.

a = 5.7375 Å, b = 8.4233 Å, c = 10.5184 Å
α = 113.49°, β = 90.00°, γ = 109.91°
Last column: magnetic moment on the atom in μB.
Positions (direct):
P 0.7059 0.1223 0.1667  0.00
P 0.0057 0.3563 0.3349  -0.01
P 0.5682 0.2327 0.5042  0.00
P 0.4023 0.4519 0.5751  0.00
P 0.4164 0.1223 0.6667  0.00
P 0.5836 0.8777 0.3333  0.00
P 0.4318 0.7673 0.4958  0.00
P 0.3355 0.7673 0.9958  0.00
P 0.9182 0.9323 0.0727  0.00
P 0.9504 0.5481 0.9249  0.00
P 0.3335 0.3105 0.2410  -0.01
P 0.0140 0.9323 0.5727  0.00
P 0.0229 0.6895 0.2590  -0.01
P 0.0496 0.4519 0.0751  0.00
P 0.0818 0.0677 0.9273  0.00
P 0.5977 0.5481 0.4249  0.00
P 0.2941 0.8777 0.8333  0.00
P 0.9860 0.0677 0.4273  0.00
P 0.6665 0.6895 0.7590  -0.01
P 0.6494 0.6437 0.1651  -0.01
P 0.6645 0.2327 0.0042  0.00
P 0.9943 0.6437 0.6651  -0.01
P 0.9771 0.3105 0.7410  -0.01
P 0.3505 0.3563 0.8349  -0.01
Ti 0.3032 0.0000 0.2500  -0.01
Ti 0.6968 0.0000 0.7500  -0.01
Mn 0.0076 0.6348 0.4544  0.24
Mn 0.6272 0.6348 0.9544  0.24
Mn 0.9924 0.3652 0.5456  0.24
Mn 0.3728 0.3652 0.0456  0.24

Summary:
ΔH_f (0 K): -0.468 eV per atom
Electronic total energy: -6.958 eV/atom
Space-group type: C2/c, No. 15

***

6.
MnTlP2 after structural relaxation, computed with PBEsol.

a = 3.7491 Å, b = 3.7491 Å, c = 5.7229 Å
α = 109.12°, β = 109.12°, γ = 90.00°
Last column: magnetic moment on the atom in μB.
Positions (direct):
P 0.0000 0.0000 0.0000  -0.07
P 0.7500 0.2500 0.5000  -0.07
Mn 0.2500 0.7500 0.5000  3.79
Tl 0.5000 0.5000 0.0000  0.00

Summary:
ΔH_f (0 K): 0.572 eV per atom
E above lowest polymorph: 478.7 meV/atom
Electronic total energy: -5.422 eV/atom
Space-group type: I-4m2, No. 119